# 1
Compound: LiHo2PaP4
Source: the Alexandria database
Functional: PBE-GGA
Structure: optimized geometry

Cell and atoms, written as POSCAR:
```
LiHo2PaP4
1.0
6.724 0.000 0.000
0.000 4.020 0.000
-2.188 0.000 6.530
Li Ho Pa P
1 2 1 4
Cartesian
0.000 0.000 0.000
-1.094 2.010 3.265
2.268 0.000 3.265
3.362 2.010 0.000
0.034 0.000 4.940
1.210 2.010 1.614
3.326 2.010 4.915
4.502 0.000 1.590
```

* energy: -6.459 eV per atom



# 2
Compound: Rb3Ac2TmS6
Source: the Alexandria database
Functional: PBE-GGA
Structure: optimized geometry

Cell and atoms, written as POSCAR:
```
Rb3Ac2TmS6
1.0
3.741 -6.481 0.000
3.741 6.481 0.000
-2.500 0.000 7.726
Rb Ac Tm S
3 2 1 6
Cartesian
0.000 0.000 0.000
3.741 2.162 0.000
3.741 -2.162 0.000
2.491 4.321 3.863
2.491 -4.321 3.863
2.491 0.000 3.863
1.328 2.016 2.335
0.165 0.000 5.387
1.328 -2.016 2.335
3.655 2.016 5.391
4.818 0.000 2.339
3.655 -2.016 5.391
```

* energy: -5.214 eV per atom
* formation energy (no corrections): -1.85 eV per atom



# 3
Compound: GaCu2WBr
Source: the Alexandria database
Functional: PBE-GGA
Structure: optimized geometry

Cell and atoms, written as POSCAR:
```
GaCu2WBr
1.0
4.421 0.000 0.000
0.000 4.421 0.000
0.000 0.000 5.460
Ga Cu W Br
1 2 1 1
Cartesian
0.000 0.000 0.000
0.000 2.211 2.730
2.211 0.000 2.730
2.211 2.211 0.000
0.000 0.000 2.730
```

* energy: -3.551 eV per atom
* formation energy (no corrections): 1.62 eV per atom



# 4
Compound: YIrS2Cl
Source: the Alexandria database
Functional: PBE-GGA
Structure: optimized geometry

Cell and atoms, written as POSCAR:
```
YIrS2Cl
1.0
5.289 0.000 0.000
0.000 5.289 0.000
0.000 0.000 5.021
Y Ir S Cl
1 1 2 1
Cartesian
0.000 0.000 0.000
2.645 2.645 2.511
0.000 2.645 0.000
2.645 0.000 0.000
0.000 0.000 2.511
```

* energy: -4.794 eV per atom
* formation energy (no corrections): 0.29 eV per atom